Record 1
VASP calculation (GGA-PBE) on crystalline Pr2SnSb3Rh4 at its relaxed geometry.

Values from the calculation:
D(E_F) in states/eV per cell: 7.766
Total energy in eV/atom: -6.341
Formation energy from raw total energies in eV/atom: -0.807
Total magnetic moment in μB per cell: 0.00

a b c (Å): 4.5162 4.5162 10.6668
angles (deg): 90.00 90.00 90.00
With the nearest neighbours (Å) after each atom.
Space group P-4m2 (No. 115)
One atom of each set of equivalent atoms:
Pr (0.0000, 0.5000, 0.2478) x2  6 Sb 3.43-3.51, 8 Rh 3.46-3.48, 2 Sn 3.51
Sn (0.0000, 0.0000, 0.5000) x1  4 Rh 2.64
Sb (0.0000, 0.5000, 0.8689) x2  5 Rh 2.57-2.66
Sb (0.5000, 0.5000, 0.5000) x1  4 Rh 2.64
Rh (0.0000, 0.0000, 0.0000) x1  4 Sb 2.66
Rh (0.0000, 0.5000, 0.6282) x2  3 Sb 2.57-2.64, 2 Sn 2.64
Rh (0.5000, 0.5000, 0.0000) x1  4 Sb 2.66



Record 2
VASP calculation (GGA-PBE) on crystalline TbPrSb2Rh5 at its relaxed geometry.

Values from the calculation:
D(E_F) in states/eV per cell: 5.284
Total energy in eV/atom: -6.561
Formation energy from raw total energies in eV/atom: -0.515
Total magnetic moment in μB per cell: 0.00

a b c (Å): 4.4839 4.4839 9.0054
angles (deg): 90.00 90.00 90.00
With the nearest neighbours (Å) after each atom.
Space group P4/mmm (No. 123)
One atom of each set of equivalent atoms:
Tb (0.0000, 0.0000, 0.0000) x1  8 Rh 3.38, 8 Sb 3.47
Pr (0.0000, 0.0000, 0.5000) x1  12 Rh 2.99-3.17
Sb (0.5000, 0.5000, 0.1569) x2  4 Rh 2.51
Rh (0.0000, 0.5000, 0.2811) x4  2 Sb 2.51
Rh (0.5000, 0.5000, 0.5000) x1  8 Rh 2.99, 2 Sb 3.09, 4 Pr 3.17



Record 3
VASP calculation (GGA-PBE) on crystalline TbPr2Sb3Rh4 at its relaxed geometry.

Values from the calculation:
D(E_F) in states/eV per cell: 8.039
Total energy in eV/atom: -6.457
Formation energy from raw total energies in eV/atom: -0.861
Total magnetic moment in μB per cell: 0.00

a b c (Å): 4.4319 4.4319 11.3976
angles (deg): 90.00 90.00 90.00
With the nearest neighbours (Å) after each atom.
Space group P-4m2 (No. 115)
One atom of each set of equivalent atoms:
Tb (0.0000, 0.0000, 0.0000) x1  4 Rh 2.76
Pr (0.0000, 0.5000, 0.7268) x2  4 Sb 3.32, 8 Rh 3.40-3.46
Sb (0.0000, 0.5000, 0.3706) x2  5 Rh 2.57-2.66
Sb (0.5000, 0.5000, 0.0000) x1  4 Rh 2.76
Rh (0.0000, 0.0000, 0.5000) x1  4 Sb 2.66
Rh (0.0000, 0.5000, 0.1448) x2  3 Sb 2.57-2.76, 2 Tb 2.76
Rh (0.5000, 0.5000, 0.5000) x1  4 Sb 2.66



Record 4
VASP calculation (GGA-PBE) on crystalline PrThSb2Rh5 at its relaxed geometry.

Values from the calculation:
D(E_F) in states/eV per cell: 6.667
Total energy in eV/atom: -6.890
Formation energy from raw total energies in eV/atom: -0.534
Total magnetic moment in μB per cell: 0.00

a b c (Å): 4.5220 4.5220 8.9200
angles (deg): 90.00 90.00 90.00
With the nearest neighbours (Å) after each atom.
Space group P4/mmm (No. 123)
One atom of each set of equivalent atoms:
Pr (0.0000, 0.0000, 0.0000) x1  12 Rh 2.99-3.20
Th (0.0000, 0.0000, 0.5000) x1  8 Rh 3.38, 8 Sb 3.49
Sb (0.5000, 0.5000, 0.3418) x2  4 Rh 2.51
Rh (0.0000, 0.5000, 0.2190) x4  2 Sb 2.51
Rh (0.5000, 0.5000, 0.0000) x1  8 Rh 2.99, 2 Sb 3.05, 4 Pr 3.20



Record 5
VASP calculation (GGA-PBE) on crystalline Pr2ThSb3Rh4 at its relaxed geometry.

Values from the calculation:
D(E_F) in states/eV per cell: 9.885
Total energy in eV/atom: -6.724
Formation energy from raw total energies in eV/atom: -0.849
Total magnetic moment in μB per cell: 0.52

a b c (Å): 4.5163 4.5163 11.3648
angles (deg): 90.00 90.00 90.00
With the nearest neighbours (Å) after each atom.
Space group P-4m2 (No. 115)
One atom of each set of equivalent atoms:
Pr (0.0000, 0.5000, 0.2139) x2  8 Rh 3.32-3.58, 4 Sb 3.34
Th (0.0000, 0.0000, 0.5000) x1  4 Rh 2.78
Sb (0.0000, 0.5000, 0.8713) x2  5 Rh 2.60-2.69
Sb (0.5000, 0.5000, 0.5000) x1  4 Rh 2.78
Rh (0.0000, 0.0000, 0.0000) x1  4 Sb 2.69
Rh (0.0000, 0.5000, 0.6429) x2  3 Sb 2.60-2.78, 2 Th 2.78
Rh (0.5000, 0.5000, 0.0000) x1  4 Sb 2.69



Record 6
VASP calculation (GGA-PBE) on crystalline Pr2TiSb3Rh4 at its relaxed geometry.

Values from the calculation:
D(E_F) in states/eV per cell: 8.046
Total energy in eV/atom: -6.762
Formation energy from raw total energies in eV/atom: -0.839
Total magnetic moment in μB per cell: 0.00

a b c (Å): 4.3699 4.3699 11.0230
angles (deg): 90.00 90.00 90.00
With the nearest neighbours (Å) after each atom.
Space group P-4m2 (No. 115)
One atom of each set of equivalent atoms:
Pr (0.0000, 0.5000, 0.2482) x2  6 Sb 3.33-3.53, 8 Rh 3.37-3.50, 2 Ti 3.53
Ti (0.0000, 0.0000, 0.5000) x1  4 Rh 2.61
Sb (0.0000, 0.5000, 0.8637) x2  5 Rh 2.59-2.65
Sb (0.5000, 0.5000, 0.5000) x1  4 Rh 2.61
Rh (0.0000, 0.0000, 0.0000) x1  4 Sb 2.65
Rh (0.0000, 0.5000, 0.6292) x2  3 Sb 2.59-2.61, 2 Ti 2.61
Rh (0.5000, 0.5000, 0.0000) x1  4 Sb 2.65



Record 7
VASP calculation (GGA-PBE) on crystalline Pr2Zn2SbRh5 at its relaxed geometry.

Values from the calculation:
D(E_F) in states/eV per cell: 12.576
Total energy in eV/atom: -5.897
Formation energy from raw total energies in eV/atom: -0.598
Total magnetic moment in μB per cell: 0.00

a b c (Å): 9.8673 9.8673 3.6937
angles (deg): 90.00 90.00 90.00
With the nearest neighbours (Å) after each atom.
Space group P4/mbm (No. 127)
One atom of each set of equivalent atoms:
Pr (0.1749, 0.3251, 0.0000) x4  3 Zn 2.82-2.98, 2 Rh 3.06
Zn (0.1226, 0.6226, 0.0000) x4  6 Rh 2.52-2.56
Sb (0.0000, 0.0000, 0.0000) x2  8 Rh 2.82
Rh (0.0000, 0.5000, 0.5000) x2  4 Zn 2.52
Rh (0.0654, 0.7936, 0.5000) x8  2 Zn 2.56, 2 Sb 2.82



Record 8
VASP calculation (GGA-PBE) on crystalline PrSc2Rh at its relaxed geometry.

Values from the calculation:
D(E_F) in states/eV per cell: 9.637
Formation energy from the elements in meV per atom: -351.1
Total energy in eV/atom: -6.550
Total magnetic moment in μB per cell: 0.00

a b c (Å): 4.3609 4.3609 18.8556
angles (deg): 90.00 90.00 120.00
With the nearest neighbours (Å) after each atom.
Space group R3m (No. 160, hexagonal axes)
One atom of each set of equivalent atoms:
Pr (0.0000, 0.0000, 0.0000) x3  1 Rh 3.29, 6 Sc 3.34-3.40
Sc (0.0000, 0.0000, 0.2122) x3  3 Rh 2.71
Sc (0.0000, 0.0000, 0.4495) x3  3 Rh 2.64
Rh (0.0000, 0.0000, 0.8254) x3  6 Sc 2.64-2.71



Record 9
VASP calculation (GGA-PBE) on crystalline PrSc5Rh4 at its relaxed geometry.

Values from the calculation:
D(E_F) in states/eV per cell: 5.606
Formation energy from the elements in meV per atom: -806.7
Total energy in eV/atom: -7.391
Total magnetic moment in μB per cell: 0.00

a b c (Å): 3.2458 3.2458 18.2937
angles (deg): 90.00 90.00 90.00
With the nearest neighbours (Å) after each atom.
Space group P4/mmm (No. 123)
One atom of each set of equivalent atoms:
Pr (0.0000, 0.0000, 0.0000) x1  4 Pr 3.25, 8 Sc 3.56
Sc (0.5000, 0.5000, 0.1490) x2  4 Rh 2.76
Sc (0.5000, 0.5000, 0.3232) x2  8 Rh 2.81-2.83
Sc (0.5000, 0.5000, 0.5000) x1  8 Rh 2.81
Rh (0.0000, 0.0000, 0.2328) x2  8 Sc 2.76-2.83
Rh (0.0000, 0.0000, 0.4114) x2  8 Sc 2.81



Record 10
VASP calculation (GGA-PBE) on crystalline Pr3ScRh8 at its relaxed geometry.

Values from the calculation:
D(E_F) in states/eV per cell: 21.446
Formation energy from the elements in meV per atom: -631.9
Total energy in eV/atom: -7.255
Total magnetic moment in μB per cell: 0.00

a b c (Å): 5.3831 5.3831 26.4032
angles (deg): 90.00 90.00 120.00
With the nearest neighbours (Å) after each atom.
Space group R3m (No. 160, hexagonal axes)
One atom of each set of equivalent atoms:
Pr (0.0000, 0.0000, 0.0000) x3  12 Rh 3.16-3.21, 4 Pr 3.32-3.34
Pr (0.0000, 0.0000, 0.1263) x3  12 Rh 3.07-3.15, 3 Sc 3.27, 1 Pr 3.34
Pr (0.0000, 0.0000, 0.6222) x3  12 Rh 3.15-3.26, 1 Sc 3.29, 3 Pr 3.32
Sc (0.0000, 0.0000, 0.4977) x3  12 Rh 3.07-3.16, 4 Pr 3.27-3.29
Rh (0.0000, 0.0000, 0.3121) x3  6 Rh 2.73
Rh (0.0000, 0.0000, 0.8124) x3  6 Rh 2.65-2.66
Rh (0.9995, 0.4998, 0.5602) x9  6 Rh 2.65-2.73
Rh (0.0019, 0.5009, 0.0640) x9  6 Rh 2.66-2.73



Record 11
VASP calculation (GGA-PBE) on crystalline PrSc2Rh at its relaxed geometry.

Values from the calculation:
D(E_F) in states/eV per cell: 4.578
Formation energy from the elements in meV per atom: -462.6
Total energy in eV/atom: -6.661
Total magnetic moment in μB per cell: 0.00

a b c (Å): 3.3176 3.3176 8.3875
angles (deg): 90.00 90.00 90.00
With the nearest neighbours (Å) after each atom.
Space group P4/mmm (No. 123)
One atom of each set of equivalent atoms:
Pr (0.0000, 0.0000, 0.0000) x1  4 Pr 3.32, 8 Sc 3.54
Sc (0.5000, 0.5000, 0.3158) x2  4 Rh 2.81, 1 Sc 3.09
Rh (0.0000, 0.0000, 0.5000) x1  8 Sc 2.81



Record 12
VASP calculation (GGA-PBE) on crystalline PrSc3Rh at its relaxed geometry.

Values from the calculation:
D(E_F) in states/eV per cell: 5.887
Formation energy from the elements in meV per atom: -296.2
Total energy in eV/atom: -6.521
Total magnetic moment in μB per cell: 0.00

a b c (Å): 5.1000 5.1000 5.1000
angles (deg): 90.00 90.00 90.00
With the nearest neighbours (Å) after each atom.
Space group Pm-3m (No. 221)
One atom of each set of equivalent atoms:
Pr (0.0000, 0.0000, 0.0000) x1  12 Sc 3.61
Sc (0.0000, 0.5000, 0.5000) x3  2 Rh 2.55
Rh (0.5000, 0.5000, 0.5000) x1  6 Sc 2.55



Among the records above, which one has the highest total magnetic moment?
Pr2ThSb3Rh4



The highest total magnetic moment belongs to which entry?
Pr2ThSb3Rh4



Look up the total magnetic moment of the eighth one.
0.00 μB per cell



Look up the total magnetic moment of the sixth one.
0.00 μB per cell